DFT (GGA-PBE) results for a geometry-optimized Nd4Sm7Mg structure.

a b c (Å): 6.2690 7.2125 9.5829
angles (deg): 112.11 90.21 90.09
Space group P-1 (No. 2)
Unique sites:
Nd  0.1608  0.3333  0.1660
Nd  0.1693  0.8329  0.1659
Sm  0.9999  0.2508  0.4998
Sm  0.3322  0.4162  0.8300
Sm  0.3325  0.9158  0.8303
Sm  0.5000  0.5000  0.5000
Mg  0.5000  0.0000  0.5000

- ΔH_f (0 K) (eV per formula unit) = 0.19

DFT (GGA-PBE) results for a geometry-optimized Al3TcH structure.

a b c (Å): 3.9312 3.9312 3.9312
angles (deg): 90.00 90.00 90.00
Space group Pm-3m (No. 221)
Unique sites:
Al  0.0000  0.0000  0.5000
Tc  0.5000  0.5000  0.5000
H  0.0000  0.0000  0.0000

- ΔE to the lowest computed polymorph (eV per atom) = 0.0000

DFT (GGA-PBE) results for a geometry-optimized TmMg2Zn4 structure.

a b c (Å): 3.3731 4.4307 17.8756
angles (deg): 90.00 90.00 90.00
Space group Immm (No. 71)
Unique sites:
Tm  0.0000  0.0000  0.0000
Mg  0.0000  0.5000  0.1991
Zn  0.0000  0.0000  0.4291
Zn  0.0000  0.5000  0.3566

- ΔH_f (0 K) (eV per formula unit) = -1.48

DFT (GGA-PBE) results for a geometry-optimized TbNdMg17 structure.

a b c (Å): 10.2487 10.2487 15.2377
angles (deg): 90.00 90.00 120.00
Space group R3m (No. 160, hexagonal axes)
Unique sites:
Tb  0.0000  0.0000  0.0000
Nd  0.0000  0.0000  0.3418
Mg  0.0000  0.0000  0.5731
Mg  0.0000  0.0000  0.7715
Mg  0.0012  0.3025  0.6719
Mg  0.0017  0.5008  0.1712
Mg  0.0104  0.5052  0.8229
Mg  0.1701  0.3402  0.8542

- ΔH_f (0 K) (eV per formula unit) = -0.72

no.,mass density (g cm⁻³)
1,6.8
2,4.9
3,6.0
4,2.6